# 1
First-principles (PBE) data for a relaxed KInGa2Sb crystal, as listed in Alexandria.

Computed properties:
Formation energy without anion corrections: -177 meV/atom

a = 4.8830 Å, b = 5.2149 Å, c = 6.5861 Å
α = 113.32°, β = 111.76°, γ = 90.00°
Closest atoms and distances in Å follow each position.
Element x y z (fractional)
Ga1 0.6890 0.1890 0.3780  2 Ga 2.70
Ga2 0.0842 0.0842 0.1684  2 Ga 2.70, 1 Sb 2.79, 2 In 2.79
K1 0.4328 0.4328 0.8656  4 In 3.62-3.87, 9 Ga 3.64-3.95, 4 Sb 3.74
Sb1 0.8322 0.8322 0.6643  3 Ga 2.79-3.05, 2 In 3.00
In1 0.1740 0.6740 0.3479  2 Ga 2.79, 2 Sb 3.00


# 2
First-principles (PBE) data for a relaxed K2InGaSe crystal, as listed in Alexandria.

Computed properties:
Formation energy without anion corrections: 35 meV/atom

a = 6.2126 Å, b = 5.1208 Å, c = 6.2126 Å
α = 90.00°, β = 90.00°, γ = 90.00°
Closest atoms and distances in Å follow each position.
Element x y z (fractional)
K1 0.5000 0.0000 0.0000  2 Ga 3.11
K2 0.0000 0.0000 0.5000  2 Ga 3.11
Ga1 0.0000 0.0000 0.0000  2 In 2.56
Se1 0.5000 0.5000 0.5000  8 K 4.03, 4 In 4.39
In1 0.0000 0.5000 0.0000  2 Ga 2.56


Question: Among the records above, which one has the highest formation energy without anion corrections?
Answer: K2InGaSe


Question: Which value of formation energy without anion corrections does entry 1 give?
Answer: -177 meV/atom


Question: Among the records above, which one has the highest formation energy without anion corrections?
Answer: K2InGaSe


Question: Which formula does entry 1 have?
Answer: KInGa2Sb